Record 1
VASP calculation (PBE) on CaTlGe2 after structural relaxation.

a = 4.6282 Å, b = 4.6282 Å, c = 4.3671 Å
α = 90.00°, β = 90.00°, γ = 90.00°
Fractional coordinates of all 4 atoms:
Ca 0.0000 0.0000 0.0000
Tl 0.5000 0.5000 0.0000
Ge 0.0000 0.5000 0.5000
Ge 0.5000 0.0000 0.5000

Summary:
- crystal system = tetragonal
- ΔE_f (eV per atom) = -0.19
- calculated total energy (eV per atom) = -3.59
- mass density (g cm⁻³) = 6.92

***

Record 2
VASP calculation (PBE) on KCrSe2 after structural relaxation.

a = 3.6258 Å, b = 8.6054 Å, c = 9.9685 Å
α = 106.23°, β = 100.46°, γ = 102.13°
Fractional coordinates of all 8 atoms:
K 0.0000 0.0000 0.0000
K 0.5000 0.5000 0.5000
Cr 0.2075 0.0337 0.3801
Cr 0.7925 0.9663 0.6199
Se 0.2647 0.8190 0.7113
Se 0.4122 0.1827 0.6432
Se 0.5878 0.8173 0.3568
Se 0.7353 0.1810 0.2887

Summary:
- crystal system = triclinic
- calculated total energy (eV per atom) = -5.15
- mass density (g cm⁻³) = 2.93

***

Record 3
VASP calculation (PBE) on PmNbGe after structural relaxation.

a = 4.0761 Å, b = 4.0761 Å, c = 8.1349 Å
α = 90.00°, β = 90.00°, γ = 90.00°
Fractional coordinates of all 6 atoms:
Pm 0.2500 0.2500 0.1482
Pm 0.7500 0.7500 0.8518
Nb 0.2500 0.7500 0.5000
Nb 0.7500 0.2500 0.5000
Ge 0.2500 0.2500 0.7345
Ge 0.7500 0.7500 0.2655

Summary:
- crystal system = tetragonal
- polymorph energy (0 for the lowest one) (meV/atom) = 0
- ΔE_f (eV per atom) = -0.61
- calculated total energy (eV per atom) = -7.09
- mass density (g cm⁻³) = 7.63

***

Record 4
VASP calculation (PBE) on LaScNi2 after structural relaxation.

a = 3.2941 Å, b = 3.2941 Å, c = 6.9099 Å
α = 90.00°, β = 90.00°, γ = 90.00°
Fractional coordinates of all 4 atoms:
La 0.0000 0.0000 0.0000
Sc 0.0000 0.0000 0.5000
Ni 0.5000 0.5000 0.2962
Ni 0.5000 0.5000 0.7038

Summary:
- crystal system = tetragonal
- polymorph energy (0 for the lowest one) (meV/atom) = 27
- ΔE_f (eV per atom) = -0.33
- calculated total energy (eV per atom) = -6.04
- mass density (g cm⁻³) = 6.67

***

Record 5
VASP calculation (PBE) on Ag2HgI2 after structural relaxation.

a = 10.1749 Å, b = 10.1749 Å, c = 7.9038 Å
α = 101.61°, β = 101.61°, γ = 27.14°
Fractional coordinates of all 10 atoms:
Ag 0.0950 0.0950 0.1725
Ag 0.3926 0.3926 0.3249
Ag 0.6074 0.6074 0.6751
Ag 0.9050 0.9050 0.8275
Hg 0.2510 0.2510 0.1360
Hg 0.7490 0.7490 0.8640
I 0.0586 0.0586 0.8018
I 0.3577 0.3577 0.6501
I 0.6423 0.6423 0.3499
I 0.9414 0.9414 0.1982

Summary:
- crystal system = monoclinic
- polymorph energy (0 for the lowest one) (meV/atom) = 0
- calculated total energy (eV per atom) = -2.00
- mass density (g cm⁻³) = 6.09

***

Which formula does entry 5 have? Ag2HgI2

***

calculated total energy of number 1 (CaTlGe2)? -3.59 eV per atom

***

Which formula does entry 3 have? PmNbGe